1.
# U4HgS8 (PBE, optimized geometry)
# formation energy from raw total energies = -1.238 eV/atom
data_U4HgS8
_chemical_formula_sum 'U12 Hg3 S24'
_space_group_name_H-M_alt 'R -3 m'
_space_group_IT_number 166
_space_group_name_Hall '-R 3 2"'
_cell_length_a 8.0170
_cell_length_b 8.0170
_cell_length_c 27.0056
_cell_angle_alpha 90.00
_cell_angle_beta 90.00
_cell_angle_gamma 120.00
loop_
_atom_site_label
_atom_site_type_symbol
_atom_site_fract_x
_atom_site_fract_y
_atom_site_fract_z
_atom_site_occupancy
U1 U 0.0000 0.0000 0.0000 1
U2 U 0.0000 0.5000 0.0000 1
Hg1 Hg 0.0000 0.0000 0.5000 1
S1 S 0.0000 0.0000 0.2824 1
S2 S 0.9999 0.4999 0.2824 1

2.
# AcPrGeBr (PBE, optimized geometry)
# energy above the lowest structure with this stoichiometry = 0.00 kcal/mol of atoms
# formation energy from raw total energies = -0.944 eV/atom
data_AcPrGeBr
_chemical_formula_sum 'Ac4 Pr4 Ge4 Br4'
_space_group_name_H-M_alt 'F -4 3 m'
_space_group_IT_number 216
_space_group_name_Hall 'F -4 2 3'
_cell_length_a 7.678
_cell_length_b 7.678
_cell_length_c 7.678
_cell_angle_alpha 90.00
_cell_angle_beta 90.00
_cell_angle_gamma 90.00
loop_
_atom_site_label
_atom_site_type_symbol
_atom_site_fract_x
_atom_site_fract_y
_atom_site_fract_z
_atom_site_occupancy
Ac1 Ac 0.000 0.000 0.000 1
Pr1 Pr 0.000 0.000 0.500 1
Ge1 Ge 0.250 0.250 0.750 1
Br1 Br 0.250 0.250 0.250 1

3.
# HoErPdRu (PBE, optimized geometry)
# energy above the lowest structure with this stoichiometry = 0.83 kcal/mol of atoms
data_HoErPdRu
_chemical_formula_sum 'Ho4 Er4 Pd4 Ru4'
_space_group_name_H-M_alt 'F -4 3 m'
_space_group_IT_number 216
_space_group_name_Hall 'F -4 2 3'
_cell_length_a 6.849
_cell_length_b 6.849
_cell_length_c 6.849
_cell_angle_alpha 90.00
_cell_angle_beta 90.00
_cell_angle_gamma 90.00
loop_
_atom_site_label
_atom_site_type_symbol
_atom_site_fract_x
_atom_site_fract_y
_atom_site_fract_z
_atom_site_occupancy
Ho1 Ho 0.000 0.000 0.000 1
Er1 Er 0.000 0.000 0.500 1
Pd1 Pd 0.250 0.250 0.750 1
Ru1 Ru 0.250 0.250 0.250 1

4.
# Rb2ZrSbSe5 (PBE, optimized geometry)
# formation energy from raw total energies = -0.903 eV/atom
data_Rb2ZrSbSe5
_chemical_formula_sum 'Rb8 Zr4 Sb4 Se20'
_space_group_name_H-M_alt 'C m c 21'
_space_group_IT_number 36
_space_group_name_Hall 'C 2c -2'
_cell_length_a 4.339
_cell_length_b 20.045
_cell_length_c 14.428
_cell_angle_alpha 90.00
_cell_angle_beta 90.00
_cell_angle_gamma 90.00
loop_
_atom_site_label
_atom_site_type_symbol
_atom_site_fract_x
_atom_site_fract_y
_atom_site_fract_z
_atom_site_occupancy
Rb1 Rb 0.000 0.126 0.000 1
Rb2 Rb 0.000 0.131 0.639 1
Zr1 Zr 0.000 0.210 0.353 1
Sb1 Sb 0.000 0.439 0.752 1
Se1 Se 0.000 0.058 0.359 1
Se2 Se 0.000 0.301 0.965 1
Se3 Se 0.000 0.311 0.716 1
Se4 Se 0.000 0.331 0.320 1
Se5 Se 0.000 0.496 0.598 1

The following mass density values (in Mg/m³) correspond, in order, to the records above: 4.670, 7.638, 11.159, 4.122.